1.
# TbTe2Ir

A relaxed structure of TbTe2Ir (PBE, Alexandria).

Cell lengths 3.993, 3.993, 9.180 Å; angles 77.44, 77.44, 60.00 degrees
Fractional positions:
Ir 0.500 0.500 0.500
Te 0.884 0.884 0.347
Tb 0.000 0.000 0.000
Te 0.116 0.116 0.653

## Properties
**Energy relative to the elements, uncorrected**: -0.19 eV per atom
**Density of states at the Fermi level**: 1.32 states/eV/cell

2.
# NaTe2Ru

A relaxed structure of NaTe2Ru (PBE, Alexandria).

Cell lengths 10.259, 10.259, 10.259 Å; angles 18.56, 18.56, 18.56 degrees
Fractional positions:
Ru 0.000 0.000 0.000
Te 0.084 0.084 0.084
Te 0.916 0.916 0.916
Na 0.500 0.500 0.500

## Properties
**Energy relative to the elements, uncorrected**: 0.36 eV per atom
**Density of states at the Fermi level**: 3.18 states/eV/cell

3.
# Pr2SmGeN4

A relaxed structure of Pr2SmGeN4 (PBE, Alexandria).

Cell lengths 3.627, 6.148, 12.233 Å; angles 90.00, 90.00, 107.16 degrees
Fractional positions:
N 0.723 0.447 0.864
N 0.277 0.553 0.136
Ge 0.834 0.668 0.750
Pr 0.369 0.738 0.545
N 0.000 0.000 0.500
N 0.723 0.447 0.636
Sm 0.896 0.792 0.250
Pr 0.369 0.738 0.955
N 0.000 0.000 0.000
Pr 0.631 0.262 0.045
N 0.277 0.553 0.364
N 0.421 0.843 0.750
Pr 0.631 0.262 0.455
N 0.579 0.157 0.250
Sm 0.104 0.208 0.750
Ge 0.166 0.332 0.250

## Properties
**Energy relative to the elements, uncorrected**: -0.84 eV per atom
**Density of states at the Fermi level**: 2.22 states/eV/cell

4.
# NbS2F

A relaxed structure of NbS2F (PBE, Alexandria).

Cell lengths 7.458, 7.458, 7.458 Å; angles 26.11, 26.11, 26.11 degrees
Fractional positions:
F 0.000 0.000 0.000
Nb 0.500 0.500 0.500
S 0.097 0.097 0.097
S 0.903 0.903 0.903

## Properties
**Energy relative to the elements, uncorrected**: -0.96 eV per atom
**Density of states at the Fermi level**: 0.87 states/eV/cell

5.
# CaSc3Pt4

A relaxed structure of CaSc3Pt4 (PBE, Alexandria).

Cell lengths 4.743, 6.634, 9.486 Å; angles 90.00, 90.00, 90.00 degrees
Fractional positions:
Sc 0.000 0.000 0.500
Sc 0.000 0.000 0.000
Pt 0.000 0.234 0.750
Sc 0.500 0.500 0.750
Pt 0.500 0.234 0.000
Ca 0.000 0.500 0.000
Pt 0.500 0.234 0.500
Pt 0.000 0.766 0.750
Sc 0.500 0.000 0.250
Pt 0.500 0.766 0.500
Sc 0.500 0.500 0.250
Pt 0.000 0.234 0.250
Sc 0.500 0.000 0.750
Pt 0.000 0.766 0.250
Ca 0.000 0.500 0.500
Pt 0.500 0.766 0.000

## Properties
**E**: -54.24 eV/f.u.
**Density of states at the Fermi level**: 7.12 states/eV/cell

6.
# Cu3Ag2Te2

A relaxed structure of Cu3Ag2Te2 (PBE, Alexandria).

Cell lengths 6.907, 6.445, 6.742 Å; angles 71.69, 90.00, 90.00 degrees
Fractional positions:
Te 0.380 0.353 0.260
Te 0.620 0.647 0.740
Te 0.880 0.647 0.240
Cu 0.482 0.304 0.661
Ag 0.351 0.883 0.913
Ag 0.649 0.117 0.087
Ag 0.851 0.117 0.587
Cu 0.982 0.696 0.839
Cu 0.518 0.696 0.339
Cu 0.000 0.000 0.000
Ag 0.149 0.883 0.413
Cu 0.500 0.000 0.500
Te 0.120 0.353 0.760
Cu 0.018 0.304 0.161

## Properties
**Energy relative to the elements, uncorrected**: 0.12 eV per atom
**Density of states at the Fermi level**: 4.41 states/eV/cell

7.
# PaAgHg2

A relaxed structure of PaAgHg2 (PBE, Alexandria).

Cell lengths 5.052, 5.052, 5.052 Å; angles 60.00, 60.00, 60.00 degrees
Fractional positions:
Pa 0.000 0.000 0.000
Hg 0.750 0.750 0.750
Hg 0.250 0.250 0.250
Ag 0.500 0.500 0.500

## Properties
**E**: -12.67 eV/f.u.
**Density of states at the Fermi level**: 4.31 states/eV/cell

8.
# LiNbTl2O4

A relaxed structure of LiNbTl2O4 (PBE, Alexandria).

Cell lengths 5.145, 6.828, 10.079 Å; angles 84.48, 75.21, 67.87 degrees
Fractional positions:
Tl 0.836 0.000 0.329
Nb 0.500 0.000 0.000
O 0.880 0.659 0.605
O 0.515 0.341 0.605
Tl 0.164 0.000 0.671
O 0.235 0.159 0.895
O 0.289 0.841 0.105
Li 0.750 0.500 0.500
Li 0.000 0.000 0.000
Tl 0.586 0.500 0.829
O 0.461 0.659 0.395
Nb 0.250 0.500 0.500
O 0.606 0.159 0.105
Tl 0.914 0.500 0.171
O 0.870 0.841 0.895
O 0.144 0.341 0.395

## Properties
**Energy relative to the elements, uncorrected**: -1.65 eV per atom
**Density of states at the Fermi level**: 0.00 states/eV/cell

9.
# RbTl2Ga

A relaxed structure of RbTl2Ga (PBE, Alexandria).

Cell lengths 4.788, 4.788, 7.848 Å; angles 72.24, 72.24, 60.00 degrees
Fractional positions:
Rb 0.500 0.500 0.500
Ga 0.000 0.000 0.000
Tl 0.283 0.283 0.151
Tl 0.717 0.717 0.849

## Properties
**E**: -8.96 eV/f.u.
**Density of states at the Fermi level**: 1.17 states/eV/cell

10.
# TaHg2Os

A relaxed structure of TaHg2Os (PBE, Alexandria).

Cell lengths 5.812, 5.812, 5.812 Å; angles 148.29, 130.01, 60.41 degrees
Fractional positions:
Hg 0.013 0.013 0.000
Hg 0.731 0.231 0.500
Ta 0.284 0.784 0.500
Os 0.472 0.472 0.000

## Properties
**E**: -21.63 eV/f.u.
**Density of states at the Fermi level**: 2.72 states/eV/cell

11.
# Na2NpUS5

A relaxed structure of Na2NpUS5 (PBE, Alexandria).

Cell lengths 4.949, 4.949, 10.445 Å; angles 90.00, 90.00, 90.00 degrees
Fractional positions:
U 0.000 0.000 0.500
S 0.500 0.500 0.000
Np 0.000 0.000 0.000
Na 0.500 0.500 0.727
S 0.500 0.000 0.500
S 0.000 0.000 0.751
Na 0.500 0.500 0.273
S 0.000 0.500 0.500
S 0.000 0.000 0.249

## Properties
**Energy relative to the elements, uncorrected**: -0.97 eV per atom
**Density of states at the Fermi level**: 14.27 states/eV/cell

12.
# V5GaRh8

A relaxed structure of V5GaRh8 (PBE, Alexandria).

Cell lengths 6.445, 6.445, 6.445 Å; angles 112.39, 103.79, 112.39 degrees
Fractional positions:
Rh 0.926 0.107 0.683
Rh 0.317 0.242 0.423
Rh 0.707 0.242 0.310
Rh 0.068 0.758 0.466
Rh 0.577 0.893 0.819
Rh 0.690 0.398 0.932
Rh 0.181 0.758 0.074
Ga 0.250 0.500 0.750
V 0.290 0.097 0.944
Rh 0.534 0.602 0.293
V 0.846 0.903 0.193
V 0.807 0.653 0.710
V 0.056 0.347 0.154
V 0.500 0.000 0.500

## Properties
**E**: -110.06 eV/f.u.
**Density of states at the Fermi level**: 13.59 states/eV/cell

13.
# Sm2Ga3Pt4Pb

A relaxed structure of Sm2Ga3Pt4Pb (PBE, Alexandria).

Cell lengths 4.174, 4.174, 11.587 Å; angles 90.00, 90.00, 90.00 degrees
Fractional positions:
Pt 0.000 0.500 0.337
Sm 0.500 0.000 0.239
Sm 0.000 0.500 0.761
Ga 0.000 0.000 0.500
Pt 0.500 0.500 0.000
Ga 0.000 0.500 0.126
Pb 0.500 0.500 0.500
Ga 0.500 0.000 0.874
Pt 0.500 0.000 0.663
Pt 0.000 0.000 0.000

## Properties
**E**: -54.74 eV/f.u.
**Density of states at the Fermi level**: 4.54 states/eV/cell

14.
# Cd3Ge2As3

A relaxed structure of Cd3Ge2As3 (PBE, Alexandria).

Cell lengths 4.076, 6.218, 14.830 Å; angles 90.00, 90.00, 109.13 degrees
Fractional positions:
Cd 0.068 0.135 0.649
As 0.379 0.759 0.018
As 0.621 0.241 0.518
Ge 0.825 0.651 0.910
As 0.289 0.578 0.250
As 0.621 0.241 0.982
As 0.711 0.422 0.750
Ge 0.175 0.349 0.090
As 0.379 0.759 0.482
Cd 0.932 0.865 0.149
Cd 0.932 0.865 0.351
Cd 0.395 0.791 0.750
Ge 0.175 0.349 0.410
Ge 0.825 0.651 0.590
Cd 0.068 0.135 0.851
Cd 0.605 0.209 0.250

## Properties
**E**: -24.89 eV/f.u.
**Density of states at the Fermi level**: 5.19 states/eV/cell

15.
# Ce3Tm2Tc2

A relaxed structure of Ce3Tm2Tc2 (PBE, Alexandria).

Cell lengths 4.114, 6.109, 7.815 Å; angles 97.07, 105.26, 109.67 degrees
Fractional positions:
Tc 0.057 0.875 0.239
Tm 0.664 0.513 0.816
Tc 0.943 0.125 0.761
Ce 0.170 0.793 0.547
Tm 0.336 0.487 0.184
Ce 0.500 0.000 0.000
Ce 0.830 0.207 0.453

## Properties
**E**: -48.07 eV/f.u.
**Density of states at the Fermi level**: 9.58 states/eV/cell

16.
# Sm3Dy2PuS6

A relaxed structure of Sm3Dy2PuS6 (PBE, Alexandria).

Cell lengths 3.944, 7.965, 8.870 Å; angles 103.11, 102.85, 90.00 degrees
Fractional positions:
S 0.998 0.752 0.996
S 0.666 0.090 0.333
Sm 0.500 0.500 0.000
Dy 0.164 0.329 0.329
Dy 0.836 0.671 0.671
S 0.330 0.422 0.661
S 0.670 0.578 0.339
Sm 0.835 0.165 0.669
Pu 0.500 0.000 0.000
S 0.334 0.910 0.667
Sm 0.165 0.835 0.331
S 0.002 0.248 0.004

## Properties
**Energy relative to the elements, uncorrected**: -1.99 eV per atom
**Density of states at the Fermi level**: 7.50 states/eV/cell

17.
# LiMn2As

A relaxed structure of LiMn2As (PBE, Alexandria).

Cell lengths 4.700, 4.700, 4.699 Å; angles 134.34, 134.33, 66.58 degrees
Fractional positions:
As 0.500 0.500 0.000
Mn 0.750 0.250 0.500
Li 0.250 0.750 0.500
Mn 0.000 0.000 0.000

## Properties
**E**: -24.90 eV/f.u.
**Density of states at the Fermi level**: 2.91 states/eV/cell

18.
# Er8Ir2Pb

A relaxed structure of Er8Ir2Pb (PBE, Alexandria).

Cell lengths 5.458, 7.861, 7.861 Å; angles 112.87, 97.47, 97.47 degrees
Fractional positions:
Er 0.797 0.612 0.612
Er 0.581 0.074 0.336
Er 0.419 0.670 0.932
Er 0.204 0.395 0.395
Pb 0.000 0.003 0.003
Er 0.000 0.754 0.252
Ir 0.500 0.693 0.313
Er 0.000 0.252 0.754
Ir 0.500 0.313 0.693
Er 0.419 0.932 0.670
Er 0.581 0.336 0.074

## Properties
**E**: -63.11 eV/f.u.
**Density of states at the Fermi level**: 12.27 states/eV/cell

19.
# ZnCd2Ga6

A relaxed structure of ZnCd2Ga6 (PBE, Alexandria).

Cell lengths 2.953, 8.132, 8.132 Å; angles 68.76, 78.06, 78.06 degrees
Fractional positions:
Ga 0.500 0.268 0.732
Ga 0.820 0.339 0.030
Ga 0.820 0.030 0.339
Cd 0.125 0.369 0.369
Ga 0.180 0.970 0.661
Zn 0.000 0.000 0.000
Ga 0.180 0.661 0.970
Ga 0.500 0.732 0.268
Cd 0.875 0.631 0.631

## Properties
**E**: -20.83 eV/f.u.
**Density of states at the Fermi level**: 3.47 states/eV/cell

20.
# Pm2NdAu6

A relaxed structure of Pm2NdAu6 (PBE, Alexandria).

Cell lengths 3.735, 8.585, 8.585 Å; angles 53.69, 77.44, 77.44 degrees
Fractional positions:
Au 0.000 0.184 0.816
Au 0.176 0.509 0.138
Au 0.824 0.491 0.862
Pm 0.641 0.859 0.859
Au 0.176 0.138 0.509
Pm 0.359 0.141 0.141
Au 0.000 0.816 0.184
Au 0.824 0.862 0.491
Nd 0.500 0.500 0.500

## Properties
**E**: -40.37 eV/f.u.
**Density of states at the Fermi level**: 5.38 states/eV/cell

21.
# CdIn8Pb2

A relaxed structure of CdIn8Pb2 (PBE, Alexandria).

Cell lengths 4.864, 4.864, 13.380 Å; angles 90.00, 90.00, 90.00 degrees
Fractional positions:
In 0.500 0.000 0.858
In 0.500 0.500 0.682
In 0.500 0.000 0.142
Pb 0.000 0.000 0.321
Pb 0.000 0.000 0.679
In 0.000 0.500 0.858
Cd 0.000 0.000 0.000
In 0.000 0.500 0.142
In 0.500 0.000 0.500
In 0.000 0.500 0.500
In 0.500 0.500 0.318

## Properties
**E**: -29.75 eV/f.u.
**Density of states at the Fermi level**: 5.14 states/eV/cell

22.
# CeDy2Hf

A relaxed structure of CeDy2Hf (PBE, Alexandria).

Cell lengths 3.300, 3.300, 12.023 Å; angles 82.11, 82.11, 60.00 degrees
Fractional positions:
Dy 0.913 0.913 0.262
Hf 0.000 0.000 0.000
Ce 0.500 0.500 0.500
Dy 0.087 0.087 0.738

## Properties
**E**: -23.66 eV/f.u.
**Density of states at the Fermi level**: 6.03 states/eV/cell

23.
# Hf2IO

A relaxed structure of Hf2IO (PBE, Alexandria).

Cell lengths 4.657, 4.657, 4.657 Å; angles 60.00, 60.00, 60.00 degrees
Fractional positions:
I 0.500 0.500 0.500
O 0.000 0.000 0.000
Hf 0.250 0.250 0.250
Hf 0.750 0.750 0.750

## Properties
**Energy relative to the elements, uncorrected**: -0.07 eV per atom
**Density of states at the Fermi level**: 5.78 states/eV/cell